[1]
# KReSeN2, optimized geometry, DFT PBE
# Energy above the lowest structure with this stoichiometry (kcal/mol of atoms): 73.51
# Total magnetic moment (μB per cell): 0.00
# Mass density (g cm⁻³): 6.202
# ΔE_f (raw) (eV/atom): 3.413
data_KReSeN2
_cell_length_a 4.061
_cell_length_b 4.061
_cell_length_c 5.394
_cell_angle_alpha 90.00
_cell_angle_beta 90.00
_cell_angle_gamma 90.00
_symmetry_space_group_name_H-M 'P 4/m m m'
_symmetry_Int_Tables_number 123
_symmetry_space_group_name_Hall '-P 4 2'
loop_
_atom_site_label
_atom_site_fract_x
_atom_site_fract_y
_atom_site_fract_z
K1 0.000 0.000 0.000
Re1 0.500 0.500 0.500
Se1 0.000 0.000 0.500
N1 0.000 0.500 0.000

---

[2]
# K2ReSiN4, optimized geometry, DFT PBE
# Total magnetic moment (μB per cell): 0.75
# Mass density (g cm⁻³): 4.517
# ΔE_f (raw) (eV/atom): -0.365
data_K2ReSiN4
_cell_length_a 5.942
_cell_length_b 6.346
_cell_length_c 6.795
_cell_angle_alpha 90.00
_cell_angle_beta 90.00
_cell_angle_gamma 90.00
_symmetry_space_group_name_H-M 'P m m n'
_symmetry_Int_Tables_number 59
loop_
_symmetry_equiv_pos_as_xyz
'x,y,z'
'-x,-y,-z'
'-x+1/2,-y+1/2,z'
'x+1/2,y+1/2,-z'
'x+1/2,-y,-z'
'-x+1/2,y,z'
'-x,y+1/2,-z'
'x,-y+1/2,z'
loop_
_atom_site_label
_atom_site_fract_x
_atom_site_fract_y
_atom_site_fract_z
K1 0.250 0.004 0.191
Re1 0.250 0.250 0.648
Si1 0.250 0.750 0.644
N1 0.015 0.750 0.490
N2 0.250 0.515 0.785

---

[3]
# KSm2ReN4, optimized geometry, DFT PBE
# Total magnetic moment (μB per cell): 1.29
# Mass density (g cm⁻³): 6.981
# ΔE_f (raw) (eV/atom): -0.759
data_KSm2ReN4
_cell_length_a 3.474
_cell_length_b 12.916
_cell_length_c 12.341
_cell_angle_alpha 90.00
_cell_angle_beta 90.00
_cell_angle_gamma 90.00
_symmetry_space_group_name_H-M 'C m c m'
_symmetry_Int_Tables_number 63
_symmetry_space_group_name_Hall '-C 2c 2'
loop_
_atom_site_label
_atom_site_fract_x
_atom_site_fract_y
_atom_site_fract_z
K1 0.000 0.071 0.250
Sm1 0.000 0.374 0.037
Re1 0.000 0.194 0.750
N1 0.000 0.000 0.000
N2 0.000 0.256 0.614
N3 0.000 0.383 0.250

---

[4]
# K2SmRe2N6, optimized geometry, DFT PBE
# Total magnetic moment (μB per cell): 2.03
# Mass density (g cm⁻³): 5.156
# ΔE_f (raw) (eV/atom): -0.324
data_K2SmRe2N6
_cell_length_a 11.006
_cell_length_b 6.342
_cell_length_c 7.510
_cell_angle_alpha 90.00
_cell_angle_beta 122.68
_cell_angle_gamma 90.00
_symmetry_space_group_name_H-M 'C 1 2/m 1'
_symmetry_Int_Tables_number 12
loop_
_symmetry_equiv_pos_as_xyz
'x,y,z'
'-x,-y,-z'
'-x,y,-z'
'x,-y,z'
'x+1/2,y+1/2,z'
'-x+1/2,-y+1/2,-z'
'-x+1/2,y+1/2,-z'
'x+1/2,-y+1/2,z'
loop_
_atom_site_label
_atom_site_fract_x
_atom_site_fract_y
_atom_site_fract_z
K1 0.212 0.000 0.185
Sm1 0.000 0.000 0.500
Re1 0.047 0.500 0.208
N1 0.025 0.264 0.753
N2 0.239 0.500 0.338

---

[5]
# KSr2Re2N6, optimized geometry, DFT PBE
# Total magnetic moment (μB per cell): 1.02
# Mass density (g cm⁻³): 4.825
# ΔE_f (raw) (eV/atom): -0.332
data_KSr2Re2N6
_cell_length_a 6.410
_cell_length_b 6.445
_cell_length_c 7.085
_cell_angle_alpha 68.04
_cell_angle_beta 67.38
_cell_angle_gamma 61.54
_symmetry_space_group_name_H-M 'P -1'
_symmetry_Int_Tables_number 2
loop_
_symmetry_equiv_pos_as_xyz
'x,y,z'
'-x,-y,-z'
loop_
_atom_site_label
_atom_site_fract_x
_atom_site_fract_y
_atom_site_fract_z
K1 0.000 0.000 0.000
Sr1 0.248 0.328 0.270
Re1 0.427 0.367 0.693
N1 0.183 0.331 0.660
N2 0.314 0.909 0.267
N3 0.336 0.550 0.872

---

[6]
# K2SrRe2N6, optimized geometry, DFT PBE
# Total magnetic moment (μB per cell): 4.00
# Mass density (g cm⁻³): 4.425
# ΔE_f (raw) (eV/atom): -0.093
data_K2SrRe2N6
_cell_length_a 11.246
_cell_length_b 6.548
_cell_length_c 7.661
_cell_angle_alpha 90.00
_cell_angle_beta 124.13
_cell_angle_gamma 90.00
_symmetry_space_group_name_H-M 'C 1 2/m 1'
_symmetry_Int_Tables_number 12
loop_
_symmetry_equiv_pos_as_xyz
'x,y,z'
'-x,-y,-z'
'-x,y,-z'
'x,-y,z'
'x+1/2,y+1/2,z'
'-x+1/2,-y+1/2,-z'
'-x+1/2,y+1/2,-z'
'x+1/2,-y+1/2,z'
loop_
_atom_site_label
_atom_site_fract_x
_atom_site_fract_y
_atom_site_fract_z
K1 0.207 0.000 0.182
Sr1 0.000 0.000 0.500
Re1 0.034 0.500 0.200
N1 0.045 0.273 0.779
N2 0.226 0.500 0.374

---

[7]
# KTaReN4, optimized geometry, DFT PBE
# Total magnetic moment (μB per cell): 0.00
# Mass density (g cm⁻³): 6.616
# ΔE_f (raw) (eV/atom): -0.299
data_KTaReN4
_cell_length_a 5.737
_cell_length_b 5.849
_cell_length_c 7.080
_cell_angle_alpha 90.00
_cell_angle_beta 102.40
_cell_angle_gamma 90.00
_symmetry_space_group_name_H-M 'P 1 21/m 1'
_symmetry_Int_Tables_number 11
loop_
_symmetry_equiv_pos_as_xyz
'x,y,z'
'-x,-y,-z'
'-x,y+1/2,-z'
'x,-y+1/2,z'
loop_
_atom_site_label
_atom_site_fract_x
_atom_site_fract_y
_atom_site_fract_z
K1 0.160 0.250 0.066
Ta1 0.132 0.750 0.469
Re1 0.414 0.250 0.640
N1 0.163 0.027 0.653
N2 0.272 0.750 0.221
N3 0.472 0.250 0.406

---

[8]
# KTb2Re2N6, optimized geometry, DFT PBE
# Total magnetic moment (μB per cell): 0.00
# Mass density (g cm⁻³): 6.209
# ΔE_f (raw) (eV/atom): -0.616
data_KTb2Re2N6
_cell_length_a 6.021
_cell_length_b 6.642
_cell_length_c 6.993
_cell_angle_alpha 61.93
_cell_angle_beta 86.34
_cell_angle_gamma 63.72
_symmetry_space_group_name_H-M 'P -1'
_symmetry_Int_Tables_number 2
loop_
_symmetry_equiv_pos_as_xyz
'x,y,z'
'-x,-y,-z'
loop_
_atom_site_label
_atom_site_fract_x
_atom_site_fract_y
_atom_site_fract_z
K1 0.000 0.000 0.000
Tb1 0.363 0.558 0.730
Re1 0.377 0.075 0.312
N1 0.064 0.289 0.302
N2 0.406 0.774 0.340
N3 0.471 0.761 0.894